# 1
Sm6Ga2TeSe3 | PBE-GGA | relaxed

a = 4.1353 Å, b = 8.7575 Å, c = 9.5514 Å
α = 103.65°, β = 102.50°, γ = 90.00°
Fractional coordinates of all 12 atoms:
Sm (0.3288, 0.9085, 0.6576)
Sm (0.6664, 0.5881, 0.3328)
Sm (0.6712, 0.0915, 0.3424)
Sm (0.0055, 0.2665, 0.0110)
Sm (0.9945, 0.7335, 0.9890)
Sm (0.3336, 0.4119, 0.6672)
Ga (0.8313, 0.6616, 0.6626)
Ga (0.1687, 0.3384, 0.3374)
Te (0.5000, 0.0000, 0.0000)
Se (0.5000, 0.5000, 0.0000)
Se (0.8372, 0.1638, 0.6745)
Se (0.1628, 0.8362, 0.3255)

## Properties
Spin magnetization, μB/f.u.: 0.000
Uncorrected energy, eV/cell: -64.02
Crystal system: monoclinic
Formation energy (no corrections), eV per atom: -1.338



# 2
BeP2OsS | PBE-GGA | relaxed

a = 4.0451 Å, b = 4.0451 Å, c = 4.2911 Å
α = 90.00°, β = 90.00°, γ = 90.00°
Fractional coordinates of all 5 atoms:
P (0.0000, 0.5000, 0.0000)
P (0.5000, 0.0000, 0.0000)
S (0.0000, 0.0000, 0.5000)
Os (0.5000, 0.5000, 0.5000)
Be (0.0000, 0.0000, 0.0000)

## Properties
Spin magnetization, μB/f.u.: 0.000
Uncorrected energy, eV/cell: -24.59
Crystal system: tetragonal
Formation energy (no corrections), eV per atom: 1.064



# 3
Mo3P | PBE-GGA | relaxed

a = 3.0319 Å, b = 3.0319 Å, c = 7.6934 Å
α = 90.00°, β = 90.00°, γ = 120.00°
Fractional coordinates of all 4 atoms:
Mo (0.0000, 0.0000, 0.7222)
Mo (0.0000, 0.0000, 0.2778)
Mo (0.6667, 0.3333, 0.0000)
P (0.6667, 0.3333, 0.5000)

## Properties
Spin magnetization, μB/f.u.: 0.000
Energy of formation from the pure elements, eV per atom: -0.078
Uncorrected energy, eV/cell: -38.22
Crystal system: hexagonal



# 4
Ca2MnCo | PBE-GGA | relaxed

a = 3.9060 Å, b = 4.4648 Å, c = 5.9478 Å
α = 67.98°, β = 90.00°, γ = 90.00°
Last column: magnetic moment on the atom in μB.
Fractional coordinates of all 4 atoms:
Ca (0.0000, 0.9834, 0.9083)  -0.02
Ca (0.5000, 0.2657, 0.3435)  -0.02
Mn (0.5000, 0.5699, 0.7352)  3.28
Co (0.0000, 0.6810, 0.5131)  0.99

## Properties
Spin magnetization, μB/f.u.: 4.439
Energy of formation from the pure elements, eV per atom: 0.264
Uncorrected energy, eV/cell: -19.22
Crystal system: orthorhombic



# 5
ZnTe2As | PBE-GGA | relaxed

a = 3.4541 Å, b = 3.4541 Å, c = 9.5317 Å
α = 90.00°, β = 90.00°, γ = 90.00°
Fractional coordinates of all 4 atoms:
As (0.5000, 0.5000, 0.5793)
Te (0.0000, 0.0000, 0.9420)
Te (0.5000, 0.5000, 0.3121)
Zn (0.0000, 0.0000, 0.6666)

## Properties
Spin magnetization, μB/f.u.: 0.000
Uncorrected energy, eV/cell: -12.08
Crystal system: tetragonal
Formation energy (no corrections), eV per atom: 0.030



# 6
LaTb2PmNd2 | PBE-GGA | relaxed

a = 3.5640 Å, b = 16.5921 Å, c = 7.0669 Å
α = 90.00°, β = 90.00°, γ = 90.00°
Fractional coordinates of all 12 atoms:
La (0.0000, 0.0000, 0.0000)
La (0.5000, 0.5000, 0.5000)
Tb (0.5000, 0.1556, 0.2492)
Tb (0.0000, 0.6556, 0.2508)
Tb (0.5000, 0.8444, 0.7508)
Tb (0.0000, 0.3444, 0.7492)
Pm (0.5000, 0.5000, 0.0000)
Pm (0.0000, 0.0000, 0.5000)
Nd (0.5000, 0.8398, 0.2528)
Nd (0.5000, 0.1602, 0.7472)
Nd (0.0000, 0.6602, 0.7528)
Nd (0.0000, 0.3398, 0.2472)

## Properties
Spin magnetization, μB/f.u.: 0.000
Energy of formation from the pure elements, eV per atom: 0.147
Uncorrected energy, eV/cell: -55.18
Crystal system: orthorhombic



# 7
HgTe2OsCl | PBE-GGA | relaxed

a = 5.6186 Å, b = 4.9749 Å, c = 5.6186 Å
α = 90.00°, β = 90.00°, γ = 90.00°
Last column: magnetic moment on the atom in μB.
Fractional coordinates of all 5 atoms:
Te (0.0000, 0.0000, 0.5000)  0.06
Te (0.5000, 0.0000, 0.0000)  0.04
Os (0.5000, 0.5000, 0.5000)  3.14
Hg (0.0000, 0.0000, 0.0000)  0.01
Cl (0.0000, 0.5000, 0.0000)  0.04

## Properties
Spin magnetization, μB/f.u.: 3.872
Uncorrected energy, eV/cell: -12.14
Crystal system: tetragonal
Formation energy (no corrections), eV per atom: 1.504



# 8
GdURu2 | PBE-GGA | relaxed

a = 3.3575 Å, b = 3.3575 Å, c = 7.1043 Å
α = 90.00°, β = 90.00°, γ = 90.00°
Last column: magnetic moment on the atom in μB.
Fractional coordinates of all 4 atoms:
Ru (0.0000, 0.0000, 0.7920)  -0.22
Ru (0.0000, 0.0000, 0.2080)  -0.22
Gd (0.5000, 0.5000, 0.5000)  7.08
U (0.5000, 0.5000, 0.0000)  1.12

## Properties
Spin magnetization, μB/f.u.: 7.995
Energy of formation from the pure elements, eV per atom: -0.314
Uncorrected energy, eV/cell: -45.18
Crystal system: tetragonal



# 9
SrBeAu | PBE-GGA | relaxed

a = 6.0545 Å, b = 6.0544 Å, c = 3.3723 Å
α = 73.83°, β = 73.83°, γ = 32.34°
Fractional coordinates of all 3 atoms:
Sr (0.6662, 0.6662, 0.3338)
Au (0.9520, 0.9520, 0.0480)
Be (0.3818, 0.3818, 0.6182)

## Properties
Spin magnetization, μB/f.u.: 0.000
Energy of formation from the pure elements, eV per atom: -0.106
Uncorrected energy, eV/cell: -9.00
Crystal system: tetragonal



# 10
LiCo2Te2 | PBE-GGA | relaxed

a = 3.7914 Å, b = 3.7914 Å, c = 7.5040 Å
α = 75.37°, β = 75.37°, γ = 90.00°
Fractional coordinates of all 5 atoms:
Te (0.3659, 0.3659, 0.2683)
Te (0.6341, 0.6341, 0.7317)
Co (0.7500, 0.2500, 0.5000)
Co (0.2500, 0.7500, 0.5000)
Li (0.0000, 0.0000, 0.0000)

## Properties
Spin magnetization, μB/f.u.: 0.000
Uncorrected energy, eV/cell: -23.20
Crystal system: tetragonal
Formation energy (no corrections), eV per atom: -0.158



# 11
Sr4SiPd4 | PBE-GGA | relaxed

a = 6.1704 Å, b = 8.9085 Å, c = 8.9085 Å
α = 90.00°, β = 90.00°, γ = 90.00°
Fractional coordinates of all 18 atoms:
Sr (0.1101, 0.5321, 0.1872)
Sr (0.1101, 0.9679, 0.3128)
Sr (0.6101, 0.8128, 0.0321)
Sr (0.6101, 0.6872, 0.4679)
Sr (0.8899, 0.4679, 0.8128)
Sr (0.8899, 0.0321, 0.6872)
Sr (0.3899, 0.1872, 0.9679)
Sr (0.3899, 0.3128, 0.5321)
Si (0.7500, 0.2500, 0.2500)
Si (0.2500, 0.7500, 0.7500)
Pd (0.1032, 0.6350, 0.5356)
Pd (0.1032, 0.8650, 0.9644)
Pd (0.6032, 0.4644, 0.1350)
Pd (0.6032, 0.0356, 0.3650)
Pd (0.8968, 0.3650, 0.4644)
Pd (0.8968, 0.1350, 0.0356)
Pd (0.3968, 0.5356, 0.8650)
Pd (0.3968, 0.9644, 0.6350)

## Properties
Spin magnetization, μB/f.u.: 0.000
Uncorrected energy, eV/cell: -76.81
Crystal system: tetragonal
Formation energy (no corrections), eV per atom: -0.609



# 12
LiNiBr4 | PBE-GGA | relaxed

a = 6.3687 Å, b = 6.3687 Å, c = 6.3687 Å
α = 60.00°, β = 60.00°, γ = 60.00°
Last column: magnetic moment on the atom in μB.
Fractional coordinates of all 6 atoms:
Li (0.7500, 0.7500, 0.7500)  0.00
Ni (0.0000, 0.0000, 0.0000)  0.92
Br (0.8760, 0.3747, 0.3747)  -0.27
Br (0.3747, 0.3747, 0.8760)  -0.27
Br (0.3747, 0.8760, 0.3747)  -0.27
Br (0.3747, 0.3747, 0.3747)  -0.27

## Properties
Spin magnetization, μB/f.u.: 0.326
Uncorrected energy, eV/cell: -10.70
Crystal system: cubic
Formation energy (no corrections), eV per atom: 0.614